An optimized crystal structure of BaZrTcIr2, computed with PBE.

abc: 4.811 4.811 5.253
angles: 90.00 90.00 90.00
Space group P4/mmm (No. 123)
Inequivalent atoms, fractional coordinates:
Ba  0.000  0.000  0.000
Zr  0.500  0.500  0.000
Tc  0.000  0.000  0.500
Ir  0.000  0.500  0.500

V: 121.6 Å³/f.u.
DFT formation energy: 1.216 eV per atom

An optimized crystal structure of BaTe2Ir, computed with PBE.

abc: 11.714 4.073 6.021
angles: 90.00 117.34 90.00
Space group Cm (No. 8)
Inequivalent atoms, fractional coordinates:
Ba  0.000  0.000  0.000
Te  0.148  0.500  0.679
Te  0.320  0.500  0.359
Ir  0.247  0.000  0.547

formation energy from raw total energies: -633 meV per atom
V: 127.6 Å³/f.u.
energy above the lowest structure with this stoichiometry: 0.24 eV per formula unit

An optimized crystal structure of BaTe2Ir, computed with PBE.

abc: 8.293 8.293 7.214
angles: 90.00 90.00 90.00
Space group I-42d (No. 122)
Inequivalent atoms, fractional coordinates:
Ba  0.000  0.000  0.000
Te  0.156  0.250  0.625
Ir  0.000  0.000  0.500

formation energy from raw total energies: -694 meV per atom
V: 124.0 Å³/f.u.
energy above the lowest structure with this stoichiometry: 0.00 eV per formula unit